Entry 1:
Hf3ScMo at its PBEsol-relaxed geometry. Source: Alexandria via LeMat-Bulk, functional meta-GGA SCAN.

Computed properties:
SG: Pm-3m
Energy of formation from the pure elements (meV per atom): 1691

a = 4.7534 Å, b = 4.7534 Å, c = 4.7534 Å
α = 90.00°, β = 90.00°, γ = 90.00°
Fractional positions:
Mo1 0.5000 0.5000 0.5000
Sc1 0.0000 0.0000 0.0000
Hf1 0.5000 0.0000 0.0000
Hf2 0.0000 0.5000 0.0000
Hf3 0.0000 0.0000 0.5000


Entry 2:
CuTc2Cl at its PBEsol-relaxed geometry. Source: Alexandria via LeMat-Bulk, functional meta-GGA SCAN.

Computed properties:
SG: P4/mmm
Formation energy (no corrections) (meV per atom): 906

a = 2.8399 Å, b = 4.2780 Å, c = 4.2780 Å
α = 90.00°, β = 90.00°, γ = 90.00°
Fractional positions:
Tc1 0.0000 0.0000 0.5000
Tc2 0.0000 0.5000 0.0000
Cl1 0.5000 0.5000 0.5000
Cu1 0.5000 0.0000 0.0000


Entry 3:
Ir2RuSe at its PBEsol-relaxed geometry. Source: Alexandria via LeMat-Bulk, functional meta-GGA SCAN.

Computed properties:
SG: Cmm2
Formation energy (no corrections) (meV per atom): 632

a = 2.7137 Å, b = 2.7346 Å, c = 9.2068 Å
α = 90.00°, β = 90.00°, γ = 119.75°
Fractional positions:
Se1 0.5000 0.0000 0.7400
Ru1 0.0000 0.0000 0.4995
Ir1 0.5000 0.0000 0.2548
Ir2 0.0000 0.0000 0.0057


Entry 4:
La6Ag7 at its PBEsol-relaxed geometry. Source: Alexandria via LeMat-Bulk, functional meta-GGA SCAN.

Computed properties:
SG: R-3m
Energy of formation from the pure elements (meV per atom): -197

a = 5.7745 Å, b = 5.7745 Å, c = 11.3176 Å
α = 75.22°, β = 75.22°, γ = 60.00°
Fractional positions:
La1 0.0531 0.0531 0.8406
La2 0.6698 0.6698 0.9905
La3 0.1573 0.1573 0.5281
La4 0.8427 0.8427 0.4719
La5 0.9469 0.9469 0.1594
La6 0.3302 0.3302 0.0095
Ag1 0.5916 0.0979 0.7189
Ag2 0.5000 0.5000 0.5000
Ag3 0.4084 0.4084 0.2811
Ag4 0.5916 0.5916 0.7189
Ag5 0.0979 0.5916 0.7189
Ag6 0.4084 0.9021 0.2811
Ag7 0.9021 0.4084 0.2811


Entry 5:
KLa2Al at its PBEsol-relaxed geometry. Source: Alexandria via LeMat-Bulk, functional meta-GGA SCAN.

Computed properties:
SG: P4/mmm
Energy of formation from the pure elements (meV per atom): 189

a = 4.6405 Å, b = 5.1890 Å, c = 5.1890 Å
α = 90.00°, β = 90.00°, γ = 90.00°
Fractional positions:
La1 0.0000 0.5000 0.0000
La2 0.0000 0.0000 0.5000
Al1 0.5000 0.5000 0.5000
K1 0.5000 0.0000 0.0000


Entry 6:
Tc2MoW at its PBEsol-relaxed geometry. Source: Alexandria via LeMat-Bulk, functional meta-GGA SCAN.

Computed properties:
SG: Imm2
Energy of formation from the pure elements (meV per atom): 27

a = 3.0994 Å, b = 4.3656 Å, c = 5.1360 Å
α = 115.15°, β = 107.56°, γ = 90.00°
Fractional positions:
Tc1 0.2412 0.7412 0.4823
Tc2 0.0057 0.0057 0.0114
Mo1 0.7569 0.2569 0.5138
W1 0.4962 0.4962 0.9924


no.,uncorrected energy (eV/atom)
1,-45.737
2,-22.418
3,-48.643
4,-36.982
5,-25.383
6,-43.646